1.
DFT (PBE-GGA) results for crystalline BaMnHg2 at its relaxed geometry.

Output
* ΔE_f: -5 meV/atom
* space group: Pmmm
* DFT total energy: -11.72 eV for the cell shown

Lattice parameters (Å, degrees): 3.625 3.678 7.913 90.00 90.00 90.00
Fractional positions:
1 Ba 0.000 0.000 0.000
2 Mn 0.000 0.000 0.500
3 Hg 0.500 0.500 0.308
4 Hg 0.500 0.500 0.692

2.
DFT (PBE-GGA) results for crystalline Rb2ReBiW at its relaxed geometry.

Output
* ΔE_f: 1731 meV/atom
* space group: P4/mmm
* DFT total energy: -22.56 eV for the cell shown

Lattice parameters (Å, degrees): 6.729 6.729 4.565 90.00 90.00 90.00
Fractional positions:
1 Rb 0.000 0.500 0.000
2 Rb 0.500 0.000 0.000
3 Re 0.000 0.000 0.000
4 Bi 0.500 0.500 0.500
5 W 0.000 0.000 0.500

3.
DFT (PBE-GGA) results for crystalline BiB2PtO at its relaxed geometry.

Output
* formation energy without anion corrections: 1.198 eV/atom
* space group: P4/mmm
* DFT total energy: -22.24 eV for the cell shown

Lattice parameters (Å, degrees): 3.934 3.934 4.678 90.00 90.00 90.00
Fractional positions:
1 Bi 0.000 0.000 0.000
2 B 0.000 0.500 0.500
3 B 0.500 0.000 0.500
4 Pt 0.500 0.500 0.000
5 O 0.000 0.000 0.500

4.
DFT (PBE-GGA) results for crystalline TbTh3Sb4 at its relaxed geometry.

Output
* formation energy without anion corrections: -0.969 eV/atom
* space group: P2/c
* DFT total energy: -102.26 eV for the cell shown
* distance to the lowest polymorph of the same formula: 0.0000 eV per atom

Lattice parameters (Å, degrees): 7.766 8.932 7.774 90.00 109.25 90.00
Fractional positions:
1 Tb 0.000 0.124 0.250
2 Tb 0.000 0.876 0.750
3 Th 0.000 0.375 0.750
4 Th 0.000 0.625 0.250
5 Th 0.500 0.125 0.750
6 Th 0.500 0.375 0.250
7 Th 0.500 0.625 0.750
8 Th 0.500 0.875 0.250
9 Sb 0.245 0.122 0.000
10 Sb 0.245 0.878 0.500
11 Sb 0.247 0.372 0.497
12 Sb 0.247 0.628 0.997
13 Sb 0.753 0.372 0.003
14 Sb 0.753 0.628 0.503
15 Sb 0.755 0.122 0.500
16 Sb 0.755 0.878 0.000

5.
DFT (PBE-GGA) results for crystalline Li4Ac5In4 at its relaxed geometry.

Output
* ΔE_f: -279 meV/atom
* space group: I4/m
* DFT total energy: -42.78 eV for the cell shown

Lattice parameters (Å, degrees): 9.389 9.389 9.389 94.02 94.02 149.28
Fractional positions:
1 Li 0.064 0.600 0.664
2 Li 0.400 0.064 0.464
3 Li 0.600 0.936 0.536
4 Li 0.936 0.400 0.336
5 Ac 0.133 0.209 0.342
6 Ac 0.209 0.867 0.075
7 Ac 0.500 0.500 0.000
8 Ac 0.791 0.133 0.925
9 Ac 0.867 0.791 0.658
10 In 0.235 0.450 0.685
11 In 0.450 0.765 0.215
12 In 0.550 0.235 0.785
13 In 0.765 0.550 0.315

6.
DFT (PBE-GGA) results for crystalline Ho3Tm6Pu at its relaxed geometry.

Output
* ΔE_f: 179 meV/atom
* space group: P1
* DFT total energy: -53.11 eV for the cell shown
* distance to the lowest polymorph of the same formula: 0.0276 eV per atom

Lattice parameters (Å, degrees): 6.619 6.737 6.743 95.27 90.12 90.23
Fractional positions:
1 Ho 0.000 0.000 0.000
2 Ho 0.199 0.381 0.223
3 Ho 0.399 0.604 0.603
4 Tm 0.199 0.056 0.547
5 Tm 0.445 0.813 0.110
6 Tm 0.531 0.284 0.917
7 Tm 0.699 0.220 0.383
8 Tm 0.867 0.687 0.319
9 Tm 0.953 0.492 0.790
10 Pu 0.700 0.913 0.691

7.
DFT (PBE-GGA) results for crystalline Ca3Cd8Pt4 at its relaxed geometry.

Output
* ΔE_f: -508 meV/atom
* space group: Fm-3m
* DFT total energy: -90.23 eV for the cell shown

Lattice parameters (Å, degrees): 9.671 9.671 9.671 60.00 60.00 60.00
Fractional positions:
1 Ca 0.212 0.212 0.788
2 Ca 0.212 0.788 0.212
3 Ca 0.212 0.788 0.788
4 Ca 0.788 0.212 0.212
5 Ca 0.788 0.212 0.788
6 Ca 0.788 0.788 0.212
7 Cd 0.141 0.620 0.620
8 Cd 0.164 0.164 0.164
9 Cd 0.164 0.164 0.507
10 Cd 0.164 0.507 0.164
11 Cd 0.380 0.380 0.380
12 Cd 0.380 0.380 0.859
13 Cd 0.380 0.859 0.380
14 Cd 0.493 0.836 0.836
15 Cd 0.507 0.164 0.164
16 Cd 0.620 0.141 0.620
17 Cd 0.620 0.620 0.141
18 Cd 0.620 0.620 0.620
19 Cd 0.836 0.493 0.836
20 Cd 0.836 0.836 0.493
21 Cd 0.836 0.836 0.836
22 Cd 0.859 0.380 0.380
23 Pt 0.000 0.000 0.000
24 Pt 0.000 0.000 0.500
25 Pt 0.000 0.500 0.000
26 Pt 0.000 0.500 0.500
27 Pt 0.500 0.000 0.000
28 Pt 0.500 0.000 0.500
29 Pt 0.500 0.500 0.000
30 Pt 0.500 0.500 0.500

8.
DFT (PBE-GGA) results for crystalline Sc3CoPb at its relaxed geometry.

Output
* ΔE_f: -365 meV/atom
* space group: P6_3/mmc
* DFT total energy: -63.27 eV for the cell shown
* distance to the lowest polymorph of the same formula: 0.0000 eV per atom

Lattice parameters (Å, degrees): 6.983 6.983 5.141 90.00 90.00 120.00
Fractional positions:
1 Sc 0.174 0.347 0.250
2 Sc 0.174 0.826 0.250
3 Sc 0.347 0.174 0.750
4 Sc 0.653 0.826 0.250
5 Sc 0.826 0.174 0.750
6 Sc 0.826 0.653 0.750
7 Co 0.000 0.000 0.000
8 Co 0.000 0.000 0.500
9 Pb 0.333 0.667 0.750
10 Pb 0.667 0.333 0.250

9.
DFT (PBE-GGA) results for crystalline Re2PbSeN at its relaxed geometry.

Output
* formation energy without anion corrections: 0.885 eV/atom
* space group: P4/mmm
* DFT total energy: -35.99 eV for the cell shown

Lattice parameters (Å, degrees): 4.001 4.001 6.034 90.00 90.00 90.00
Fractional positions:
1 Re 0.000 0.500 0.000
2 Re 0.500 0.000 0.000
3 Pb 0.000 0.000 0.500
4 Se 0.500 0.500 0.500
5 N 0.000 0.000 0.000

10.
DFT (PBE-GGA) results for crystalline CeNd2Sm9 at its relaxed geometry.

Output
* ΔE_f: 35 meV/atom
* space group: P4/mmm
* DFT total energy: -57.53 eV for the cell shown

Lattice parameters (Å, degrees): 5.132 5.132 15.386 90.00 90.00 90.00
Fractional positions:
1 Ce 0.000 0.000 0.000
2 Nd 0.000 0.000 0.332
3 Nd 0.000 0.000 0.668
4 Sm 0.000 0.500 0.163
5 Sm 0.000 0.500 0.500
6 Sm 0.000 0.500 0.837
7 Sm 0.500 0.000 0.163
8 Sm 0.500 0.000 0.500
9 Sm 0.500 0.000 0.837
10 Sm 0.500 0.500 0.000
11 Sm 0.500 0.500 0.333
12 Sm 0.500 0.500 0.667